# 1
The following is a GGA-PBE calculation of a geometry-optimized Li4ErGa structure, from Alexandria via LeMat-Bulk.

Results
total magnetization: 0.0 μB per formula unit
E_form: -0.078 eV/atom
Fermi-level density of states: 0.2072 states/eV/atom

```
data_Li4ErGa
_cell_length_a 7.569
_cell_length_b 7.569
_cell_length_c 7.569
_cell_angle_alpha 90.00
_cell_angle_beta 90.00
_cell_angle_gamma 90.00
_symmetry_space_group_name_H-M 'F -4 3 m'
_symmetry_Int_Tables_number 216
_symmetry_space_group_name_Hall 'F -4 2 3'
loop_
_atom_site_label
_atom_site_fract_x
_atom_site_fract_y
_atom_site_fract_z
Li1 0.124 0.124 0.124
Er1 0.000 0.000 0.500
Ga1 0.250 0.250 0.750
```

***

# 2
The following is a GGA-PBE calculation of a geometry-optimized LiErGa structure, from Alexandria via LeMat-Bulk.

Results
total magnetization: 0.1 μB per formula unit
E_form: -0.220 eV/atom
Fermi-level density of states: 1.1278 states/eV/atom

```
data_LiErGa
_cell_length_a 3.439
_cell_length_b 3.439
_cell_length_c 10.613
_cell_angle_alpha 90.00
_cell_angle_beta 90.00
_cell_angle_gamma 90.00
_symmetry_space_group_name_H-M 'I 4 m m'
_symmetry_Int_Tables_number 107
_symmetry_space_group_name_Hall 'I 4 -2'
loop_
_atom_site_label
_atom_site_fract_x
_atom_site_fract_y
_atom_site_fract_z
Li1 0.000 0.000 0.000
Er1 0.000 0.000 0.294
Ga1 0.000 0.000 0.617
```

***

# 3
The following is a GGA-PBE calculation of a geometry-optimized LiErGa structure, from Alexandria via LeMat-Bulk.

Results
total magnetization: 0.0 μB per formula unit
E_form: -0.353 eV/atom
Fermi-level density of states: 0.5602 states/eV/atom

```
data_LiErGa
_cell_length_a 4.6468
_cell_length_b 4.6468
_cell_length_c 3.3021
_cell_angle_alpha 90.00
_cell_angle_beta 90.00
_cell_angle_gamma 120.00
_symmetry_space_group_name_H-M 'P -6 m 2'
_symmetry_Int_Tables_number 187
_symmetry_space_group_name_Hall 'P -6 2'
loop_
_atom_site_label
_atom_site_fract_x
_atom_site_fract_y
_atom_site_fract_z
Li1 0.0000 0.0000 0.0000
Er1 0.6667 0.3333 0.5000
Ga1 0.3333 0.6667 0.0000
```

***

# 4
The following is a GGA-PBE calculation of a geometry-optimized Li2ErGa structure, from Alexandria via LeMat-Bulk.

Results
total magnetization: 0.0 μB per formula unit
E_form: -0.263 eV/atom
Fermi-level density of states: 0.5513 states/eV/atom

```
data_Li2ErGa
_cell_length_a 6.776
_cell_length_b 6.776
_cell_length_c 6.776
_cell_angle_alpha 90.00
_cell_angle_beta 90.00
_cell_angle_gamma 90.00
_symmetry_space_group_name_H-M 'F -4 3 m'
_symmetry_Int_Tables_number 216
_symmetry_space_group_name_Hall 'F -4 2 3'
loop_
_atom_site_label
_atom_site_fract_x
_atom_site_fract_y
_atom_site_fract_z
Li1 0.000 0.000 0.000
Li2 0.250 0.250 0.250
Er1 0.250 0.250 0.750
Ga1 0.000 0.000 0.500
```

***

# 5
The following is a GGA-PBE calculation of a geometry-optimized LiErGa structure, from Alexandria via LeMat-Bulk.

Results
total magnetization: 0.0 μB per formula unit
E_form: -0.401 eV/atom
Fermi-level density of states: 0.7802 states/eV/atom

```
data_LiErGa
_cell_length_a 7.0537
_cell_length_b 7.0537
_cell_length_c 4.3581
_cell_angle_alpha 90.00
_cell_angle_beta 90.00
_cell_angle_gamma 120.00
_symmetry_space_group_name_H-M 'P -6 2 m'
_symmetry_Int_Tables_number 189
_symmetry_space_group_name_Hall 'P -6 -2'
loop_
_atom_site_label
_atom_site_fract_x
_atom_site_fract_y
_atom_site_fract_z
Li1 0.0000 0.7655 0.0000
Er1 0.0000 0.4260 0.5000
Ga1 0.0000 0.0000 0.5000
Ga2 0.3333 0.6667 0.0000
```

***

# 6
The following is a GGA-PBE calculation of a geometry-optimized LiErLuGa structure, from Alexandria via LeMat-Bulk.

Results
total magnetization: 0.0 μB per formula unit
E_form: -0.308 eV/atom
Fermi-level density of states: 0.6566 states/eV/atom

```
data_LiErLuGa
_cell_length_a 7.089
_cell_length_b 7.089
_cell_length_c 7.089
_cell_angle_alpha 90.00
_cell_angle_beta 90.00
_cell_angle_gamma 90.00
_symmetry_space_group_name_H-M 'F -4 3 m'
_symmetry_Int_Tables_number 216
_symmetry_space_group_name_Hall 'F -4 2 3'
loop_
_atom_site_label
_atom_site_fract_x
_atom_site_fract_y
_atom_site_fract_z
Li1 0.000 0.000 0.000
Er1 0.250 0.250 0.250
Lu1 0.250 0.250 0.750
Ga1 0.000 0.000 0.500
```

***

# 7
The following is a GGA-PBE calculation of a geometry-optimized LiErMgGa structure, from Alexandria via LeMat-Bulk.

Results
total magnetization: 0.0 μB per formula unit
E_form: -0.302 eV/atom
Fermi-level density of states: 0.6021 states/eV/atom

```
data_LiErMgGa
_cell_length_a 6.852
_cell_length_b 6.852
_cell_length_c 6.852
_cell_angle_alpha 90.00
_cell_angle_beta 90.00
_cell_angle_gamma 90.00
_symmetry_space_group_name_H-M 'F -4 3 m'
_symmetry_Int_Tables_number 216
_symmetry_space_group_name_Hall 'F -4 2 3'
loop_
_atom_site_label
_atom_site_fract_x
_atom_site_fract_y
_atom_site_fract_z
Li1 0.000 0.000 0.000
Er1 0.250 0.250 0.250
Mg1 0.250 0.250 0.750
Ga1 0.000 0.000 0.500
```

***

# 8
The following is a GGA-PBE calculation of a geometry-optimized Li2NdEr2Ga2 structure, from Alexandria via LeMat-Bulk.

Results
total magnetization: 0.0 μB per formula unit
E_form: -0.281 eV/atom
Fermi-level density of states: 0.7553 states/eV/atom

```
data_Li2NdEr2Ga2
_cell_length_a 4.6490
_cell_length_b 4.6490
_cell_length_c 26.1710
_cell_angle_alpha 90.00
_cell_angle_beta 90.00
_cell_angle_gamma 120.00
_symmetry_space_group_name_H-M 'R -3 m'
_symmetry_Int_Tables_number 166
_symmetry_space_group_name_Hall '-R 3 2"'
loop_
_atom_site_label
_atom_site_fract_x
_atom_site_fract_y
_atom_site_fract_z
Li1 0.0000 0.0000 0.0948
Nd1 0.0000 0.0000 0.5000
Er1 0.0000 0.0000 0.3719
Ga1 0.0000 0.0000 0.2432
```

***

# 9
The following is a GGA-PBE calculation of a geometry-optimized Li3Er2GaNi12 structure, from Alexandria via LeMat-Bulk.

Results
total magnetization: 3.0 μB per formula unit
E_form: 0.016 eV/atom
Fermi-level density of states: 1.3071 states/eV/atom

```
data_Li3Er2GaNi12
_cell_length_a 5.0986
_cell_length_b 5.0986
_cell_length_c 33.9078
_cell_angle_alpha 90.00
_cell_angle_beta 90.00
_cell_angle_gamma 120.00
_symmetry_space_group_name_H-M 'R -3 m'
_symmetry_Int_Tables_number 166
_symmetry_space_group_name_Hall '-R 3 2"'
loop_
_atom_site_label
_atom_site_fract_x
_atom_site_fract_y
_atom_site_fract_z
Li1 0.0000 0.5000 0.0000
Er1 0.0000 0.0000 0.1403
Ga1 0.0000 0.0000 0.5000
Ni1 0.0026 0.5013 0.1100
Ni2 0.0201 0.5101 0.6100
```

***

# 10
The following is a GGA-PBE calculation of a geometry-optimized LiErGa4Ni2 structure, from Alexandria via LeMat-Bulk.

Results
total magnetization: 0.0 μB per formula unit
E_form: -0.462 eV/atom
Fermi-level density of states: 0.4294 states/eV/atom

```
data_LiErGa4Ni2
_cell_length_a 4.1172
_cell_length_b 4.1172
_cell_length_c 25.3007
_cell_angle_alpha 90.00
_cell_angle_beta 90.00
_cell_angle_gamma 120.00
_symmetry_space_group_name_H-M 'R -3 m'
_symmetry_Int_Tables_number 166
_symmetry_space_group_name_Hall '-R 3 2"'
loop_
_atom_site_label
_atom_site_fract_x
_atom_site_fract_y
_atom_site_fract_z
Li1 0.0000 0.0000 0.0000
Er1 0.0000 0.0000 0.5000
Ga1 0.0000 0.0000 0.0989
Ga2 0.0000 0.0000 0.3709
Ni1 0.0000 0.0000 0.2661
```

***

# 11
The following is a GGA-PBE calculation of a geometry-optimized LiEr2GaO structure, from Alexandria via LeMat-Bulk.

Results
total magnetization: 0.0 μB per formula unit
formation energy without anion corrections: -1.489 eV/atom
Fermi-level density of states: 0.1794 states/eV/atom

```
data_LiEr2GaO
_cell_length_a 4.693
_cell_length_b 4.693
_cell_length_c 4.006
_cell_angle_alpha 90.00
_cell_angle_beta 90.00
_cell_angle_gamma 90.00
_symmetry_space_group_name_H-M 'P 4/m m m'
_symmetry_Int_Tables_number 123
_symmetry_space_group_name_Hall '-P 4 2'
loop_
_atom_site_label
_atom_site_fract_x
_atom_site_fract_y
_atom_site_fract_z
Li1 0.000 0.000 0.000
Er1 0.000 0.500 0.500
Ga1 0.500 0.500 0.000
O1 0.000 0.000 0.500
```

***

# 12
The following is a GGA-PBE calculation of a geometry-optimized LiErGaOs structure, from Alexandria via LeMat-Bulk.

Results
total magnetization: 0.0 μB per formula unit
E_form: -0.198 eV/atom
Fermi-level density of states: 0.5415 states/eV/atom

```
data_LiErGaOs
_cell_length_a 6.493
_cell_length_b 6.493
_cell_length_c 6.493
_cell_angle_alpha 90.00
_cell_angle_beta 90.00
_cell_angle_gamma 90.00
_symmetry_space_group_name_H-M 'F -4 3 m'
_symmetry_Int_Tables_number 216
_symmetry_space_group_name_Hall 'F -4 2 3'
loop_
_atom_site_label
_atom_site_fract_x
_atom_site_fract_y
_atom_site_fract_z
Li1 0.000 0.000 0.000
Er1 0.250 0.250 0.250
Ga1 0.250 0.250 0.750
Os1 0.000 0.000 0.500
```

***

# 13
The following is a GGA-PBE calculation of a geometry-optimized LiErPaGa structure, from Alexandria via LeMat-Bulk.

Results
total magnetization: 0.0 μB per formula unit
E_form: 0.023 eV/atom
Fermi-level density of states: 1.0868 states/eV/atom

```
data_LiErPaGa
_cell_length_a 7.076
_cell_length_b 7.076
_cell_length_c 7.076
_cell_angle_alpha 90.00
_cell_angle_beta 90.00
_cell_angle_gamma 90.00
_symmetry_space_group_name_H-M 'F -4 3 m'
_symmetry_Int_Tables_number 216
_symmetry_space_group_name_Hall 'F -4 2 3'
loop_
_atom_site_label
_atom_site_fract_x
_atom_site_fract_y
_atom_site_fract_z
Li1 0.000 0.000 0.000
Er1 0.250 0.250 0.750
Pa1 0.250 0.250 0.250
Ga1 0.000 0.000 0.500
```